(1)
# CuNiP2S PBE optimized geometry
# **E above lowest polymorph**: 0.0 kJ/mol of formula units
# **M_tot**: 0.00 μB per formula unit
# **DOS(E_F)**: 3.186 states/eV per cell
# **Formation energy from raw total energies**: 348 kJ/mol of formula units
# **Final energy**: -0.1560 Ha/atom
data_CuNiP2S
_cell_length_a 4.260
_cell_length_b 4.260
_cell_length_c 4.787
_cell_angle_alpha 90.00
_cell_angle_beta 90.00
_cell_angle_gamma 90.00
_symmetry_space_group_name_H-M 'P 4/m m m'
_symmetry_Int_Tables_number 123
_symmetry_space_group_name_Hall '-P 4 2'
loop_
_atom_site_label
_atom_site_type_symbol
_atom_site_fract_x
_atom_site_fract_y
_atom_site_fract_z
Cu1 Cu 0.000 0.000 0.000
Ni1 Ni 0.500 0.500 0.500
P1 P 0.000 0.500 0.500
S1 S 0.500 0.500 0.000

(2)
# CuNiPS2 PBE optimized geometry
# **E above lowest polymorph**: 0.0 kJ/mol of formula units
# **M_tot**: 0.00 μB per formula unit
# **DOS(E_F)**: 4.734 states/eV per cell
# **Formation energy from raw total energies**: 326 kJ/mol of formula units
# **Final energy**: -0.1482 Ha/atom
data_CuNiPS2
_cell_length_a 4.634
_cell_length_b 4.634
_cell_length_c 4.128
_cell_angle_alpha 90.00
_cell_angle_beta 90.00
_cell_angle_gamma 90.00
_symmetry_space_group_name_H-M 'P 4/m m m'
_symmetry_Int_Tables_number 123
_symmetry_space_group_name_Hall '-P 4 2'
loop_
_atom_site_label
_atom_site_type_symbol
_atom_site_fract_x
_atom_site_fract_y
_atom_site_fract_z
Cu1 Cu 0.000 0.000 0.000
Ni1 Ni 0.500 0.500 0.500
P1 P 0.500 0.500 0.000
S1 S 0.000 0.500 0.500

(3)
# CuNiPS2 PBE optimized geometry
# **E above lowest polymorph**: 156.6 kJ/mol of formula units
# **M_tot**: 1.18 μB per formula unit
# **DOS(E_F)**: 4.630 states/eV per cell
# **Formation energy from raw total energies**: 482 kJ/mol of formula units
# **Final energy**: -0.1363 Ha/atom
data_CuNiPS2
_cell_length_a 4.565
_cell_length_b 4.565
_cell_length_c 4.340
_cell_angle_alpha 90.00
_cell_angle_beta 90.00
_cell_angle_gamma 90.00
_symmetry_space_group_name_H-M 'P 4/m m m'
_symmetry_Int_Tables_number 123
_symmetry_space_group_name_Hall '-P 4 2'
loop_
_atom_site_label
_atom_site_type_symbol
_atom_site_fract_x
_atom_site_fract_y
_atom_site_fract_z
Cu1 Cu 0.000 0.000 0.000
Ni1 Ni 0.500 0.500 0.500
P1 P 0.000 0.000 0.500
S1 S 0.000 0.500 0.000